[1]
This record from the Alexandria database describes a relaxed structure of LiIn2Pb. The functional is GGA-PBEsol.

The space group is Pmmm (No. 47) and the conventional cell measures 3.342, 4.558 and 6.443 Å, with angles of 90.00, 90.00 and 90.00 degrees. Symmetry generates all atoms from Li at (0.000, 0.000, 0.000), In at (0.500, 0.500, 0.234) and Pb at (0.000, 0.000, 0.500).

The value obtained for the energy is -12.395 eV for the cell shown.


[2]
This record from the Alexandria database describes a relaxed structure of LiIn2Pb. The functional is GGA-PBEsol.

The space group is F-43m (No. 216) and the conventional cell measures 7.357, 7.357 and 7.357 Å, with angles of 90.00, 90.00 and 90.00 degrees. Symmetry generates all atoms from Li at (0.000, 0.000, 0.000), In at (0.000, 0.000, 0.500), In at (0.250, 0.250, 0.750) and Pb at (0.250, 0.250, 0.250).

The value obtained for the energy is -49.202 eV for the cell shown.